# 1
4
Lattice="3.891 0.000 0.000 0.000 3.891 0.000 0.000 0.000 11.001" Properties=species:S:1:pos:R:3 comment="Ba2SrRh | Alexandria | PBE | optimized geometry" e_above_lowest_polymorph_ev_per_fu=0.71 e_form_ev_per_atom=-0.02 spacegroup="No. 99" pbc="T T T"
Ba 0.000 0.000 0.000
Ba 1.946 1.946 3.881
Sr 1.946 1.946 7.366
Rh 0.000 0.000 5.687

# 2
5
Lattice="5.271 0.000 0.000 0.000 5.271 0.000 0.000 0.000 4.730" Properties=species:S:1:pos:R:3 comment="Cr2CdSiHg | Alexandria | PBE | optimized geometry" formation_energy_uncorrected_mev_per_atom=1219 spacegroup="No. 123" pbc="T T T"
Cr 0.000 2.635 0.000
Cr 2.635 0.000 0.000
Cd 0.000 0.000 2.365
Si 2.635 2.635 2.365
Hg 2.635 2.635 0.000

# 3
4
Lattice="1.763 1.018 12.575 -1.763 1.018 12.575 0.000 -2.035 12.575" Properties=species:S:1:pos:R:3 comment="Pm2NdTm | Alexandria | PBE | optimized geometry" e_above_lowest_polymorph_ev_per_fu=0.54 e_form_ev_per_atom=0.15 spacegroup="No. 166" pbc="T T T"
Pm 0.000 0.000 3.418
Pm 0.000 0.000 34.306
Nd 0.000 0.000 0.000
Tm 0.000 0.000 18.862

# 4
4
Lattice="4.287 0.000 0.000 0.000 4.287 0.000 0.000 0.000 4.483" Properties=species:S:1:pos:R:3 comment="Li2ScCd | Alexandria | PBE | optimized geometry" e_above_lowest_polymorph_ev_per_fu=0.29 e_form_ev_per_atom=-0.01 spacegroup="No. 123" pbc="T T T"
Li 0.000 2.143 0.000
Li 2.143 0.000 0.000
Sc 0.000 0.000 2.241
Cd 2.143 2.143 2.241

# 5
6
Lattice="0.000 3.915 3.915 3.915 0.000 3.915 3.915 3.915 0.000" Properties=species:S:1:pos:R:3 comment="MgCdAg4 | Alexandria | PBE | optimized geometry" e_above_lowest_polymorph_ev_per_fu=0.57 e_form_ev_per_atom=-0.01 spacegroup="No. 216" pbc="T T T"
Mg 0.000 0.000 0.000
Cd 1.958 1.958 1.958
Ag 4.895 2.936 2.936
Ag 2.936 4.895 2.936
Ag 2.936 2.936 4.895
Ag 4.895 4.895 4.895

# 6
15
Lattice="4.734 2.733 8.439 -4.734 2.733 8.439 0.000 -5.466 8.439" Properties=species:S:1:pos:R:3 comment="Rb3Na3CrI8 | Alexandria | PBE | optimized geometry" formation_energy_uncorrected_mev_per_atom=-1123 spacegroup="No. 166" pbc="T T T"
Rb -2.367 -1.367 8.439
Rb -2.367 1.367 16.878
Rb 0.000 2.733 8.439
Na -4.734 0.000 12.659
Na -2.367 1.367 4.220
Na 2.367 1.367 4.220
Cr 0.000 0.000 12.659
I 0.000 0.000 6.012
I -2.120 -1.224 14.294
I 0.000 -2.448 11.024
I -2.120 1.224 11.024
I 2.120 -1.224 14.294
I 0.000 2.448 14.294
I 2.120 1.224 11.024
I 0.000 0.000 19.306

no.,magnetic moment (μB/f.u.)
1,0.5
2,9.1
3,0.0
4,0.4
5,0.0
6,4.0